Record 1
This record from the Alexandria database describes a relaxed Nd2PuSc crystal. The functional is PBE.

It has space group P4/mmm (No. 123), with a = 4.9998 Å, b = 4.9998 Å, c = 4.8064 Å, α = 90.00°, β = 90.00° and γ = 90.00°. The asymmetric unit holds Nd at (0.0000, 0.5000, 0.0000), Pu at (0.0000, 0.0000, 0.5000) and Sc at (0.5000, 0.5000, 0.5000).

The calculation puts the formation energy at 0.1614 eV/atom. The density of states at the Fermi level comes out at 14.4 states/eV/cell.

Record 2
This record from the Alexandria database describes a relaxed NdPu2Sc crystal. The functional is PBE.

It has space group P4/mmm (No. 123), with a = 4.7284 Å, b = 4.7284 Å, c = 4.9538 Å, α = 90.00°, β = 90.00° and γ = 90.00°. The asymmetric unit holds Nd at (0.0000, 0.0000, 0.0000), Pu at (0.0000, 0.5000, 0.5000) and Sc at (0.5000, 0.5000, 0.0000).

The calculation puts the formation energy at 0.2041 eV/atom. The density of states at the Fermi level comes out at 15.4 states/eV/cell.

Record 3
This record from the Alexandria database describes a relaxed NdPuSc2 crystal. The functional is PBE.

It has space group P4/mmm (No. 123), with a = 4.8259 Å, b = 4.8259 Å, c = 4.6927 Å, α = 90.00°, β = 90.00° and γ = 90.00°. The asymmetric unit holds Nd at (0.0000, 0.0000, 0.0000), Pu at (0.5000, 0.5000, 0.0000) and Sc at (0.0000, 0.5000, 0.5000).

The calculation puts the formation energy at 0.1558 eV/atom. The density of states at the Fermi level comes out at 13.8 states/eV/cell.

| no. | energy above the lowest structure with this stoichiometry (eV/atom) |
| --- | --- |
| 1 | 0.0338 |
| 2 | 0.0685 |
| 3 | 0.0433 |